Density functional theory data (SCAN) for a crystal of LuAl4Ni relaxed with PBEsol.

Output
As for the total energy: -17.67 eV/atom. The total moment comes out at 0.01 μB per cell. As for the calculated formation energy: -0.583 eV per atom. Its space group is Cmcm (63).

Lattice parameters (Å, degrees): 3.9954 6.5654 7.7839 90.00 104.87 90.00
Last column: nearest neighbours and their distance in Å.
Fractional positions:
Al  0.1873  0.5523  0.3747  3 Ni 2.36-2.46, 1 Al 2.60
Al  0.4259  0.2500  0.8518  1 Ni 2.31
Al  0.5741  0.7500  0.1482  1 Ni 2.31
Al  0.8127  0.0523  0.6253  3 Ni 2.36-2.46, 1 Al 2.60
Al  0.1873  0.9477  0.3747  3 Ni 2.36-2.46, 1 Al 2.60
Al  0.8127  0.4477  0.6253  3 Ni 2.36-2.46, 1 Al 2.60
Al  0.0000  0.5000  0.0000  6 Al 2.82-2.84
Al  0.0000  0.0000  0.0000  6 Al 2.82-2.84
Ni  0.7274  0.7500  0.4548  7 Al 2.31-2.46
Ni  0.2726  0.2500  0.5452  7 Al 2.31-2.46
Lu  0.3791  0.7500  0.7582  11 Al 2.93-3.16, 2 Ni 3.03
Lu  0.6209  0.2500  0.2418  11 Al 2.93-3.16, 2 Ni 3.03

Density functional theory data (SCAN) for a crystal of Cu2OF2 relaxed with PBEsol.

Output
As for the total energy: -10.08 eV/atom. The total moment comes out at 4.00 μB per cell. The energy relative to the elements, uncorrected comes out at -1.3397 eV/atom. Its space group is I4_1/amd (141).

Lattice parameters (Å, degrees): 5.6320 6.3756 5.6320 63.79 90.00 116.21
Last column: nearest neighbours and their distance in Å.
Fractional positions:
F  0.4933  0.9867  0.0067  2 Cu 1.92
F  0.2567  0.5133  0.7433  2 Cu 1.92
F  0.7433  0.4867  0.2567  2 Cu 1.92
F  0.0067  0.0133  0.4933  2 Cu 1.92
O  0.0000  0.0000  0.0000  4 Cu 1.88
O  0.7500  0.5000  0.7500  4 Cu 1.88
Cu  0.8750  0.7500  0.8750  2 O 1.88, 2 F 1.92
Cu  0.3750  0.2500  0.8750  2 O 1.88, 2 F 1.92
Cu  0.8750  0.2500  0.8750  2 O 1.88, 2 F 1.92
Cu  0.8750  0.7500  0.3750  2 O 1.88, 2 F 1.92

Density functional theory data (SCAN) for a crystal of Mg3NO relaxed with PBEsol.

Output
As for the total energy: -6.87 eV/atom. The total moment comes out at 0.00 μB per cell. The energy relative to the elements, uncorrected comes out at -0.7765 eV/atom. Its space group is Pm-3m (221).

Lattice parameters (Å, degrees): 4.0746 4.0746 4.0746 90.00 90.00 90.00
Last column: nearest neighbours and their distance in Å.
Fractional positions:
Mg  0.0000  0.5000  0.0000  2 N 2.04
Mg  0.0000  0.0000  0.5000  2 N 2.04
Mg  0.5000  0.0000  0.0000  2 N 2.04
N  0.0000  0.0000  0.0000  6 Mg 2.04
O  0.5000  0.5000  0.5000  12 Mg 2.88

Density functional theory data (SCAN) for a crystal of HfSiOs relaxed with PBEsol.

Output
As for the total energy: -49.13 eV/atom. The total moment comes out at 0.00 μB per cell. The energy relative to the elements, uncorrected comes out at -0.9446 eV/atom. Its space group is Ima2 (46).

Lattice parameters (Å, degrees): 6.6040 7.5312 7.3417 60.83 90.00 116.00
Last column: nearest neighbours and their distance in Å.
Fractional positions:
Os  0.2460  0.2489  0.3480  4 Si 2.45-2.52
Os  0.9971  0.7511  0.6520  4 Si 2.45-2.52
Os  0.7501  0.0000  0.5000  4 Si 2.51-2.54
Os  0.9971  0.7511  0.0969  4 Si 2.45-2.52
Os  0.2460  0.2489  0.9031  4 Si 2.45-2.52
Os  0.7501  0.0000  0.0000  4 Si 2.51-2.54
Hf  0.4199  0.0068  0.7466  5 Si 2.69-2.72, 4 Os 2.87-2.93
Hf  0.5971  0.6053  0.9473  5 Si 2.69-2.90, 6 Os 2.83-2.91
Hf  0.9918  0.3947  0.0527  5 Si 2.69-2.90, 6 Os 2.83-2.91
Hf  0.4130  0.9932  0.2534  5 Si 2.69-2.72, 4 Os 2.87-2.93
Hf  0.9921  0.4407  0.5297  5 Si 2.69-2.71, 2 Os 2.87
Hf  0.5515  0.5593  0.4703  5 Si 2.69-2.71, 2 Os 2.87
Si  0.3278  0.6652  0.1609  3 Os 2.51-2.54, 6 Hf 2.69-2.71
Si  0.9796  0.9480  0.2760  6 Os 2.45-2.51, 2 Hf 2.70-2.72
Si  0.6626  0.3348  0.8391  3 Os 2.51-2.54, 6 Hf 2.69-2.71
Si  0.0317  0.0520  0.7240  6 Os 2.45-2.51, 2 Hf 2.70-2.72
Si  0.3278  0.6652  0.6739  3 Os 2.51-2.54, 6 Hf 2.69-2.71
Si  0.6626  0.3348  0.3261  3 Os 2.51-2.54, 6 Hf 2.69-2.71